# 1
Below is crystalline NiHAu at its relaxed geometry, with properties calculated at the PBE-GGA level.

Cell and atoms, written as POSCAR:
```
NiHAu
1.0
2.842 0.000 0.000
-1.421 2.461 0.000
0.000 0.000 4.593
H Au Ni
1 1 1
direct
0.333 0.667 0.509
0.000 0.000 0.997
0.667 0.333 0.494
```

Values from the calculation:
The calculated density comes out at 13.3 g/cm³. The size of the total moment is 0.00 μB/f.u. The calculation puts the total energy at -0.150 hartree per atom. As for the space group: P3m1.

***

# 2
Below is crystalline NiH2Au at its relaxed geometry, with properties calculated at the PBE-GGA level.

Cell and atoms, written as POSCAR:
```
NiH2Au
1.0
4.128 0.000 0.000
0.000 4.128 0.000
2.064 2.064 4.284
Au H Ni
2 4 2
direct
0.000 0.000 0.000
0.750 0.250 0.500
0.204 0.625 0.250
0.375 0.454 0.750
0.875 0.796 0.750
0.546 0.125 0.250
0.250 0.750 0.500
0.500 0.500 0.000
```

Values from the calculation:
The calculated density comes out at 11.7 g/cm³. The size of the total moment is 0.00 μB/f.u. The calculation puts the total energy at -0.138 hartree per atom. As for the space group: I-42d.

***

# 3
Below is crystalline NiHAu at its relaxed geometry, with properties calculated at the PBE-GGA level.

Cell and atoms, written as POSCAR:
```
NiHAu
1.0
2.884 0.000 0.000
0.000 2.952 0.000
0.000 0.000 7.485
Au Ni H
2 2 2
direct
0.000 0.000 0.858
0.500 0.500 0.142
0.000 0.000 0.383
0.500 0.500 0.617
0.000 0.500 0.496
0.500 0.000 0.504
```

Values from the calculation:
The calculated density comes out at 13.4 g/cm³. The size of the total moment is 0.00 μB/f.u. The calculation puts the total energy at -0.152 hartree per atom. As for the space group: Pmmn.

***

# 4
Below is crystalline NiHAu2 at its relaxed geometry, with properties calculated at the PBE-GGA level.

Cell and atoms, written as POSCAR:
```
NiHAu2
1.0
-1.831 -2.133 -0.607
9.268 -9.376 4.984
-0.076 1.302 2.591
Au H Ni
4 2 2
direct
0.478 0.161 0.973
0.478 0.839 0.973
0.478 0.661 0.473
0.478 0.339 0.473
0.507 0.500 0.487
0.507 0.000 0.987
0.178 0.000 0.322
0.178 0.500 0.822
```

Values from the calculation:
The calculated density comes out at 14.8 g/cm³. The size of the total moment is 0.00 μB/f.u. The calculation puts the total energy at -0.142 hartree per atom. As for the space group: Fmm2.